Record 1
PrSnPt3 | Alexandria | GGA-PBE | relaxed; E_form = -0.510 eV/atom; crystal system = orthorhombic; magnetization = 0.0 μB/cell
1.0
5.634 0.000 0.000
0.000 7.655 0.000
0.000 0.000 5.384
Pr Sn Pt
2 2 6
direct
0.000 0.000 0.000
0.500 0.500 0.000
0.000 0.500 0.500
0.500 0.000 0.500
0.000 0.500 0.000
0.086 0.169 0.500
0.414 0.669 0.500
0.500 0.000 0.000
0.586 0.331 0.500
0.914 0.831 0.500

=====

Record 2
ScCr2Au | Alexandria | GGA-PBE | relaxed; E_form = 0.151 eV/atom; crystal system = tetragonal; magnetization = 6.8 μB/cell
1.0
4.112 0.000 0.000
0.000 4.112 0.000
0.000 0.000 4.034
Sc Cr Au
1 2 1
direct
0.000 0.000 0.000
0.000 0.500 0.500
0.500 0.000 0.500
0.500 0.500 0.000

=====

Record 3
BeAs2Ru | Alexandria | GGA-PBE | relaxed; E_form = 0.199 eV/atom; crystal system = monoclinic; magnetization = 0.0 μB/cell
1.0
3.045 0.000 0.000
0.000 3.053 0.000
-1.227 0.000 6.362
Be As Ru
1 2 1
direct
0.000 0.000 0.000
0.398 0.500 0.255
0.602 0.500 0.745
0.000 0.000 0.500

=====

Record 4
TbCu8Ni2 | Alexandria | GGA-PBE | relaxed; E_form = 0.389 eV/atom; crystal system = tetragonal; magnetization = 0.0 μB/cell
1.0
4.853 0.000 0.000
0.000 4.853 0.000
0.000 0.000 7.941
Tb Cu Ni
1 8 2
direct
0.000 0.000 0.000
0.252 0.252 0.286
0.252 0.252 0.714
0.252 0.748 0.286
0.252 0.748 0.714
0.748 0.252 0.286
0.748 0.252 0.714
0.748 0.748 0.286
0.748 0.748 0.714
0.000 0.500 0.500
0.500 0.000 0.500

=====

Record 5
SiNi12B5 | Alexandria | GGA-PBE | relaxed; crystal system = orthorhombic; magnetization = 0.0 μB/cell; formation energy without anion corrections = -0.31 eV/atom
1.0
-3.332 3.354 3.746
3.332 -3.354 3.746
3.332 3.354 -3.746
Si Ni B
1 12 5
direct
0.000 0.000 0.000
0.085 0.269 0.816
0.173 0.485 0.312
0.173 0.860 0.688
0.316 0.215 0.530
0.316 0.785 0.101
0.453 0.269 0.184
0.547 0.731 0.816
0.684 0.215 0.899
0.684 0.785 0.470
0.827 0.140 0.312
0.827 0.515 0.688
0.915 0.731 0.184
0.156 0.500 0.656
0.381 0.881 0.500
0.500 0.500 0.000
0.619 0.119 0.500
0.844 0.500 0.344

=====

Record 6
NpCoRu | Alexandria | GGA-PBE | relaxed; E_form = 0.176 eV/atom; crystal system = trigonal; magnetization = 2.0 μB/cell
1.0
2.238 1.292 2.950
-2.238 1.292 2.950
0.000 -2.584 2.950
Np Co Ru
1 1 1
direct
0.000 0.000 0.000
0.646 0.646 0.646
0.370 0.370 0.370

=====

Record 7
ZrNbAu2 | Alexandria | GGA-PBE | relaxed; E_form = -0.155 eV/atom; crystal system = cubic; magnetization = 0.0 μB/cell
1.0
0.000 3.380 3.380
3.380 0.000 3.380
3.380 3.380 0.000
Zr Nb Au
1 1 2
direct
0.000 0.000 0.000
0.500 0.500 0.500
0.250 0.250 0.250
0.750 0.750 0.750

=====

Record 8
PrSmHo4Se8 | Alexandria | GGA-PBE | relaxed; crystal system = trigonal; magnetization = 0.0 μB/cell; formation energy without anion corrections = -1.71 eV/atom
1.0
4.228 2.441 6.965
-4.228 2.441 6.965
0.000 -4.882 6.965
Pr Sm Ho Se
1 1 4 8
direct
0.000 0.000 0.000
0.626 0.626 0.626
0.129 0.626 0.626
0.252 0.252 0.252
0.626 0.129 0.626
0.626 0.626 0.129
0.378 0.378 0.859
0.378 0.859 0.378
0.384 0.384 0.384
0.409 0.870 0.870
0.859 0.378 0.378
0.864 0.864 0.864
0.870 0.409 0.870
0.870 0.870 0.409

=====

Record 9
KScGe3 | Alexandria | GGA-PBE | relaxed; E_form = 1.294 eV/atom; crystal system = cubic; magnetization = 0.0 μB/cell
1.0
5.234 0.000 0.000
0.000 5.234 0.000
0.000 0.000 5.234
K Sc Ge
1 1 3
direct
0.000 0.000 0.000
0.500 0.500 0.500
0.000 0.000 0.500
0.000 0.500 0.000
0.500 0.000 0.000

=====

Record 10
TmMgMnRu | Alexandria | GGA-PBE | relaxed; E_form = 0.000 eV/atom; crystal system = cubic; magnetization = 3.5 μB/cell
1.0
0.000 3.288 3.288
3.288 0.000 3.288
3.288 3.288 0.000
Tm Mg Mn Ru
1 1 1 1
direct
0.000 0.000 0.000
0.500 0.500 0.500
0.250 0.250 0.250
0.750 0.750 0.750

=====

Record 11
MgTlBiTe3 | Alexandria | GGA-PBE | relaxed; crystal system = monoclinic; magnetization = 0.0 μB/cell; formation energy without anion corrections = -0.47 eV/atom
1.0
9.482 0.000 0.000
0.000 4.571 0.000
-2.489 0.000 10.094
Mg Tl Bi Te
2 2 2 6
direct
0.085 0.250 0.106
0.915 0.750 0.894
0.193 0.250 0.727
0.807 0.750 0.273
0.331 0.750 0.368
0.669 0.250 0.632
0.104 0.250 0.379
0.218 0.750 0.026
0.443 0.750 0.665
0.557 0.250 0.335
0.782 0.250 0.974
0.896 0.750 0.621

=====

Record 12
La6Tb5Pm | Alexandria | GGA-PBE | relaxed; E_form = 0.018 eV/atom; crystal system = orthorhombic; magnetization = 0.0 μB/cell
1.0
-2.621 5.068 7.821
2.621 -5.068 7.821
2.621 5.068 -7.821
La Tb Pm
6 5 1
direct
0.082 0.333 0.749
0.249 0.000 0.249
0.416 0.667 0.749
0.584 0.333 0.251
0.751 0.000 0.751
0.918 0.667 0.251
0.000 0.500 0.500
0.167 0.167 0.000
0.333 0.833 0.500
0.667 0.167 0.500
0.833 0.833 0.000
0.500 0.500 0.000

=====

Record 13
SrIBr2 | Alexandria | GGA-PBE | relaxed; crystal system = trigonal; magnetization = 1.0 μB/cell; formation energy without anion corrections = -1.33 eV/atom
1.0
2.214 1.278 12.369
-2.214 1.278 12.369
0.000 -2.557 12.369
Sr I Br
1 1 2
direct
0.000 0.000 0.000
0.500 0.500 0.500
0.378 0.378 0.378
0.622 0.622 0.622

=====

Record 14
LiScTiMo | Alexandria | GGA-PBE | relaxed; E_form = 0.151 eV/atom; crystal system = cubic; magnetization = 0.0 μB/cell
1.0
0.000 3.235 3.235
3.235 0.000 3.235
3.235 3.235 0.000
Li Sc Ti Mo
1 1 1 1
direct
0.000 0.000 0.000
0.250 0.250 0.250
0.750 0.750 0.750
0.500 0.500 0.500

=====

Record 15
DyMnGa6 | Alexandria | GGA-PBE | relaxed; E_form = -0.171 eV/atom; crystal system = trigonal; magnetization = 0.0 μB/cell
1.0
4.536 2.619 2.175
-4.536 2.619 2.175
0.000 -5.238 2.175
Dy Mn Ga
1 1 6
direct
0.000 0.000 0.000
0.500 0.500 0.500
0.216 0.216 0.630
0.216 0.630 0.216
0.370 0.784 0.784
0.630 0.216 0.216
0.784 0.370 0.784
0.784 0.784 0.370

=====

Record 16
NaNb3Ru | Alexandria | GGA-PBE | relaxed; E_form = 1.035 eV/atom; crystal system = cubic; magnetization = 0.0 μB/cell
1.0
4.889 0.000 0.000
0.000 4.889 0.000
0.000 0.000 4.889
Na Nb Ru
1 3 1
direct
0.000 0.000 0.000
0.000 0.500 0.500
0.500 0.000 0.500
0.500 0.500 0.000
0.500 0.500 0.500

=====

Record 17
ErTmMg3 | Alexandria | GGA-PBE | relaxed; E_form = 0.030 eV/atom; crystal system = trigonal; magnetization = 0.0 μB/cell
1.0
3.076 1.776 8.163
-3.076 1.776 8.163
0.000 -3.551 8.163
Er Tm Mg
2 2 6
direct
0.067 0.067 0.067
0.933 0.933 0.933
0.335 0.335 0.335
0.665 0.665 0.665
0.111 0.621 0.621
0.379 0.379 0.889
0.379 0.889 0.379
0.621 0.111 0.621
0.621 0.621 0.111
0.889 0.379 0.379

=====

Record 18
IrRuCl2 | Alexandria | GGA-PBE | relaxed; crystal system = orthorhombic; magnetization = 0.0 μB/cell; formation energy without anion corrections = 0.78 eV/atom
1.0
1.419 -2.646 0.000
1.419 2.646 0.000
0.000 0.000 8.440
Ir Ru Cl
1 1 2
direct
0.000 0.000 0.000
0.000 0.000 0.500
0.500 0.500 0.265
0.500 0.500 0.735

=====

Record 19
SmCd2In | Alexandria | GGA-PBE | relaxed; E_form = -0.288 eV/atom; crystal system = orthorhombic; magnetization = 0.0 μB/cell
1.0
1.850 -10.991 0.000
1.850 10.991 0.000
0.000 0.000 5.001
Sm Cd In
2 4 2
direct
0.099 0.901 0.750
0.901 0.099 0.250
0.268 0.732 0.250
0.471 0.529 0.750
0.529 0.471 0.250
0.732 0.268 0.750
0.342 0.658 0.750
0.658 0.342 0.250

=====

Record 20
La5Pr4Nd4 | Alexandria | GGA-PBE | relaxed; E_form = 0.015 eV/atom; crystal system = monoclinic; magnetization = 0.0 μB/cell
1.0
9.489 -2.618 0.000
9.489 2.618 0.000
-9.466 0.000 9.492
La Pr Nd
5 4 4
direct
0.000 0.000 0.000
0.309 0.309 0.770
0.461 0.461 0.153
0.539 0.539 0.847
0.691 0.691 0.230
0.077 0.077 0.692
0.385 0.385 0.461
0.615 0.615 0.539
0.923 0.923 0.308
0.154 0.154 0.386
0.232 0.232 0.078
0.768 0.768 0.922
0.846 0.846 0.614

=====

Record 21
Be2ZnTe3 | Alexandria | GGA-PBE | relaxed; crystal system = monoclinic; magnetization = 0.0 μB/cell; formation energy without anion corrections = -0.39 eV/atom
1.0
3.569 -6.196 0.000
3.569 6.196 0.000
-2.344 0.000 6.732
Be Zn Te
4 2 6
direct
0.083 0.917 0.500
0.245 0.753 0.999
0.753 0.245 0.499
0.917 0.083 0.000
0.414 0.587 0.501
0.587 0.414 0.001
0.105 0.628 0.631
0.268 0.456 0.109
0.456 0.268 0.609
0.628 0.105 0.131
0.812 0.976 0.633
0.976 0.812 0.133

=====

Record 22
Cs2RbPtBr6 | Alexandria | GGA-PBE | relaxed; crystal system = tetragonal; magnetization = 1.0 μB/cell; formation energy without anion corrections = -1.12 eV/atom
1.0
-4.067 4.067 6.069
4.067 -4.067 6.069
4.067 4.067 -6.069
Cs Rb Pt Br
2 1 1 6
direct
0.250 0.750 0.500
0.750 0.250 0.500
0.000 0.000 0.000
0.500 0.500 0.000
0.269 0.269 0.000
0.283 0.283 0.566
0.283 0.717 0.000
0.717 0.283 0.000
0.717 0.717 0.434
0.731 0.731 0.000

=====

Record 23
TiAs2WBr | Alexandria | GGA-PBE | relaxed; crystal system = tetragonal; magnetization = 3.6 μB/cell; formation energy without anion corrections = 0.98 eV/atom
1.0
4.973 0.000 0.000
0.000 4.973 0.000
0.000 0.000 4.787
Ti As W Br
1 2 1 1
direct
0.000 0.000 0.000
0.000 0.500 0.000
0.500 0.000 0.000
0.500 0.500 0.500
0.000 0.000 0.500

=====

Record 24
DyThTe2 | Alexandria | GGA-PBE | relaxed; crystal system = cubic; magnetization = 0.0 μB/cell; formation energy without anion corrections = -1.12 eV/atom
1.0
0.000 3.809 3.809
3.809 0.000 3.809
3.809 3.809 0.000
Dy Th Te
1 1 2
direct
0.000 0.000 0.000
0.500 0.500 0.500
0.250 0.250 0.250
0.750 0.750 0.750

=====

Record 25
SmPuCd2 | Alexandria | GGA-PBE | relaxed; E_form = -0.124 eV/atom; crystal system = tetragonal; magnetization = 5.8 μB/cell
1.0
3.269 0.000 0.000
0.000 3.269 0.000
0.000 0.000 9.689
Sm Pu Cd
1 1 2
direct
0.000 0.000 0.000
0.000 0.000 0.500
0.500 0.500 0.249
0.500 0.500 0.751